# 1
6
Lattice="-2.025 3.368 -2.129 -3.378 0.687 4.300 4.779 2.737 -0.215" Properties=species:S:1:pos:R:3 comment="Ta5Cr, single point on PBEsol structure, DFT SCAN" dft_energy_ev_per_cell=-347.17 formation_energy_ev_per_atom=0.6885 volume_a3_per_atom=19.6 magnetic_moment_mub_per_fu=3.653 density_g_cm3=13.51 spacegroup="P6/mmm, No. 191" polymorph_energy_ev_per_atom=0.6607 crystal_system=hexagonal pbc="T T T"
Ta -2.701 2.028 1.086
Cr 0.000 0.000 0.000
Ta -0.312 3.396 0.978
Ta -0.659 1.370 2.795
Ta 1.377 3.053 -1.172
Ta 2.060 2.053 1.290

---

# 2
4
Lattice="-2.134 -2.802 1.294 -0.412 -3.133 -2.023 3.234 -4.015 2.080" Properties=species:S:1:pos:R:3 comment="TaCr, single point on PBEsol structure, DFT SCAN" dft_energy_ev_per_cell=-168.11 formation_energy_ev_per_atom=0.4564 volume_a3_per_atom=15.6 magnetic_moment_mub_per_fu=0.000 density_g_cm3=12.39 spacegroup="R-3m, No. 166" crystal_system=trigonal pbc="T T T"
Cr -0.585 -2.110 -0.093
Ta -1.237 -6.588 0.016
Ta 1.924 -3.362 1.335
Cr 1.272 -7.840 1.443

---

# 3
7
Lattice="-0.985 -0.843 -4.665 -3.032 -1.564 3.435 -2.605 4.480 -0.259" Properties=species:S:1:pos:R:3 comment="Ta4Cr3, single point on PBEsol structure, DFT SCAN" dft_energy_ev_per_cell=-321.64 formation_energy_ev_per_atom=-0.0220 volume_a3_per_atom=15.0 magnetic_moment_mub_per_fu=0.000 density_g_cm3=13.87 spacegroup="P6/mmm, No. 191" crystal_system=hexagonal pbc="T T T"
Cr -0.493 -0.421 -2.332
Cr -1.516 -0.782 1.718
Cr -2.008 -1.203 -0.615
Ta -2.970 1.157 -2.094
Ta -1.949 3.352 -0.194
Ta -3.652 0.916 0.606
Ta -0.656 1.128 -0.065

---

# 4
5
Lattice="-3.889 1.309 -2.831 -1.640 -1.742 4.374 2.903 3.978 0.779" Properties=species:S:1:pos:R:3 comment="Ta4Cr, single point on PBEsol structure, DFT SCAN" dft_energy_ev_per_cell=-279.69 formation_energy_ev_per_atom=1.0046 volume_a3_per_atom=19.1 magnetic_moment_mub_per_fu=0.560 density_g_cm3=13.51 spacegroup="Im-3m, No. 229" polymorph_energy_ev_per_atom=0.9888 crystal_system=cubic pbc="T T T"
Ta 1.451 1.989 0.389
Cr 0.000 0.000 0.000
Ta -1.944 0.655 -1.416
Ta -1.313 1.772 1.161
Ta -0.820 -0.871 2.187

---

# 5
6
Lattice="4.845 0.000 0.000 2.422 4.196 0.000 2.422 1.399 3.956" Properties=species:S:1:pos:R:3 comment="TaCr2, single point on PBEsol structure, DFT SCAN" dft_energy_ev_per_cell=-207.19 formation_energy_ev_per_atom=-0.0816 volume_a3_per_atom=13.4 magnetic_moment_mub_per_fu=0.002 density_g_cm3=11.77 spacegroup="Fd-3m, No. 227" polymorph_energy_ev_per_atom=0.0000 crystal_system=cubic pbc="T T T"
Cr 6.056 3.496 2.472
Ta 2.422 1.399 0.989
Cr 4.845 2.797 0.494
Ta 0.000 0.000 0.000
Cr 4.845 1.399 2.472
Cr 3.633 3.496 2.472

---

# 6
6
Lattice="4.433 0.000 0.000 -2.217 3.839 0.000 0.000 0.000 4.804" Properties=species:S:1:pos:R:3 comment="TaCr2, single point on PBEsol structure, DFT SCAN" dft_energy_ev_per_cell=-204.35 formation_energy_ev_per_atom=0.3928 volume_a3_per_atom=13.6 magnetic_moment_mub_per_fu=0.880 density_g_cm3=11.57 spacegroup="P6_3/mmc, No. 194" polymorph_energy_ev_per_atom=0.4745 crystal_system=hexagonal pbc="T T T"
Cr 2.217 1.280 3.603
Ta 0.000 2.560 3.603
Cr 0.000 2.560 1.201
Cr 0.000 0.000 2.402
Cr 0.000 0.000 0.000
Ta 2.217 1.280 1.201

---

# 7
6
Lattice="-1.834 0.850 2.487 3.328 -1.330 2.908 3.550 5.776 -1.421" Properties=species:S:1:pos:R:3 comment="Ta5Cr, single point on PBEsol structure, DFT SCAN" dft_energy_ev_per_cell=-351.11 formation_energy_ev_per_atom=0.0319 volume_a3_per_atom=16.6 magnetic_moment_mub_per_fu=0.780 density_g_cm3=15.94 spacegroup="Cmmm, No. 65" polymorph_energy_ev_per_atom=0.0041 crystal_system=orthorhombic pbc="T T T"
Ta 1.664 -0.665 1.454
Ta 1.622 1.822 2.639
Ta 0.825 1.944 -0.056
Ta 0.890 4.682 1.122
Ta 3.421 3.475 1.336
Cr -0.917 0.425 1.244

---

# 8
6
Lattice="-1.437 2.416 0.670 -1.468 -0.186 -2.482 -6.178 -4.788 4.014" Properties=species:S:1:pos:R:3 comment="TaCr5, single point on PBEsol structure, DFT SCAN" dft_energy_ev_per_cell=-158.88 formation_energy_ev_per_atom=-0.0631 volume_a3_per_atom=12.2 magnetic_moment_mub_per_fu=0.892 density_g_cm3=9.98 spacegroup="P4/mmm, No. 123" crystal_system=tetragonal pbc="T T T"
Cr -1.150 -0.891 0.747
Cr -5.523 -2.040 1.739
Cr -5.028 -3.897 3.267
Cr -3.089 -2.394 2.007
Ta -1.453 1.115 -0.906
Cr -3.560 -0.518 0.463

---

# 9
6
Lattice="3.191 0.000 0.000 -1.596 5.092 -0.002 0.000 -2.014 6.137" Properties=species:S:1:pos:R:3 comment="Ta5Cr, single point on PBEsol structure, DFT SCAN" dft_energy_ev_per_cell=-351.13 formation_energy_ev_per_atom=0.0278 volume_a3_per_atom=16.6 magnetic_moment_mub_per_fu=0.000 density_g_cm3=15.93 spacegroup="C2/m, No. 12" polymorph_energy_ev_per_atom=0.0000 crystal_system=monoclinic pbc="T T T"
Ta 0.000 3.173 0.975
Ta 1.596 1.014 1.965
Ta 0.000 2.064 4.170
Cr 0.000 0.000 0.000
Ta 1.596 -0.094 5.160
Ta 0.000 -1.007 3.068

---

# 10
3
Lattice="3.105 0.000 0.000 0.000 3.105 0.000 -1.552 -1.552 4.814" Properties=species:S:1:pos:R:3 comment="Ta2Cr, single point on PBEsol structure, DFT SCAN" dft_energy_ev_per_cell=-151.62 formation_energy_ev_per_atom=-0.0244 volume_a3_per_atom=15.5 magnetic_moment_mub_per_fu=0.312 density_g_cm3=14.81 spacegroup="I4/mmm, No. 139" crystal_system=tetragonal pbc="T T T"
Ta 0.000 0.000 1.495
Cr 1.552 1.552 0.000
Ta 1.552 1.552 3.319

---

# 11
6
Lattice="3.127 0.000 0.000 0.000 4.536 0.000 -1.564 0.000 6.548" Properties=species:S:1:pos:R:3 comment="Ta2Cr, single point on PBEsol structure, DFT SCAN" dft_energy_ev_per_cell=-303.14 formation_energy_ev_per_atom=-0.0065 volume_a3_per_atom=15.5 magnetic_moment_mub_per_fu=0.000 density_g_cm3=14.80 spacegroup="Cmcm, No. 63" crystal_system=orthorhombic pbc="T T T"
Cr 0.000 3.402 5.477
Ta 0.000 1.134 3.152
Ta 0.000 3.402 0.996
Ta 1.564 1.134 5.552
Cr 1.564 1.134 1.071
Ta 1.564 3.402 3.396

---

# 12
5
Lattice="-1.732 -2.008 -1.717 -1.143 -4.170 3.123 -5.118 1.330 0.701" Properties=species:S:1:pos:R:3 comment="Ta4Cr, single point on PBEsol structure, DFT SCAN" dft_energy_ev_per_cell=-284.64 formation_energy_ev_per_atom=0.0158 volume_a3_per_atom=16.4 magnetic_moment_mub_per_fu=0.000 density_g_cm3=15.71 spacegroup="I4/m, No. 87" polymorph_energy_ev_per_atom=0.0000 crystal_system=tetragonal pbc="T T T"
Ta -1.803 -1.742 0.950
Ta -3.560 -3.673 2.073
Cr 0.000 0.000 0.000
Ta -4.433 -1.175 0.033
Ta -6.190 -3.106 1.157